#1
The following is a DFT calculation (PBE) of a relaxed Cs2TlPtAu crystal.

Properties
Size of the total moment   0.000 μB per cell

Cell lengths 5.115, 5.115, 16.080 Å; angles 90.00, 90.00, 90.00 degrees
Fractional coordinates of all 10 atoms:
Cs1 0.000 0.500 0.662
Cs2 0.000 0.500 0.119
Cs3 0.500 0.000 0.881
Cs4 0.500 0.000 0.338
Tl1 0.500 0.000 0.579
Tl2 0.000 0.500 0.421
Pt1 0.000 0.000 0.500
Pt2 0.500 0.500 0.500
Au1 0.500 0.000 0.109
Au2 0.000 0.500 0.891

=====

#2
The following is a DFT calculation (PBE) of a relaxed Cs2TlPtAu crystal.

Properties
Size of the total moment   0.000 μB per cell

Cell lengths 6.638, 6.638, 5.273 Å; angles 90.00, 90.00, 90.00 degrees
Fractional coordinates of all 5 atoms:
Cs1 0.000 0.500 0.000
Cs2 0.500 0.000 0.000
Tl1 0.000 0.000 0.500
Au1 0.500 0.500 0.500
Pt1 0.000 0.000 0.000

=====

How do the energies compare? Relative to the most stable structure, in meV/atom: #1 0; #2 103.

=====

#1
The following is a DFT calculation (PBE) of a relaxed Cs2Rb2Au3 crystal.

Properties
Size of the total moment   0.000 μB per cell

Cell lengths 9.308, 9.308, 9.308 Å; angles 109.47, 109.47, 109.47 degrees
Fractional coordinates of all 14 atoms:
Cs1 0.000 0.000 0.858
Cs2 0.500 0.858 0.500
Cs3 0.142 0.642 0.642
Cs4 0.358 0.500 0.000
Rb1 0.500 0.354 0.500
Rb2 0.000 0.000 0.354
Rb3 0.646 0.146 0.146
Rb4 0.854 0.500 0.000
Au1 0.750 0.623 0.373
Au2 0.250 0.877 0.127
Au3 0.627 0.750 0.877
Au4 0.873 0.250 0.623
Au5 0.377 0.127 0.750
Au6 0.123 0.373 0.250

=====

#2
The following is a DFT calculation (PBE) of a relaxed Cs2Rb2Au3 crystal.

Properties
Size of the total moment   0.000 μB per cell

Cell lengths 5.092, 8.695, 9.975 Å; angles 117.00, 104.79, 90.00 degrees
Fractional coordinates of all 7 atoms:
Cs1 0.635 0.781 0.270
Cs2 0.365 0.219 0.730
Rb1 0.874 0.695 0.749
Rb2 0.126 0.305 0.251
Au1 0.000 0.500 0.000
Au2 0.264 0.746 0.527
Au3 0.736 0.254 0.473

=====

How do the energies compare? Relative to the most stable structure, in meV/atom: #1 0; #2 27.